1.
La2Co2Sn after structural relaxation. Source: the Alexandria database, functional PBE-GGA.

extended XYZ file:
```
10
Lattice="3.566 0.000 0.000 0.000 3.566 0.000 0.000 0.000 18.303" Properties=species:S:1:pos:R:3 pbc="T T T"
La 0.000 0.000 2.396
La 0.000 0.000 15.907
La 1.783 1.783 6.755
La 1.783 1.783 11.548
Co 0.000 1.783 4.576
Co 0.000 1.783 13.727
Co 1.783 0.000 4.576
Co 1.783 0.000 13.727
Sn 0.000 0.000 9.151
Sn 1.783 1.783 0.000
```

Values from the calculation:
Calculated total energy (eV per atom): -5.70
SG: I4/mmm (139)


2.
Mn2PPtRh after structural relaxation. Source: the Alexandria database, functional PBE-GGA.

extended XYZ file:
```
5
Lattice="4.795 0.000 0.000 0.000 4.795 0.000 0.000 0.000 4.831" Properties=species:S:1:pos:R:3 pbc="T T T"
Mn 0.000 2.397 0.000
Mn 2.397 0.000 0.000
P 0.000 0.000 2.415
Pt 2.397 2.397 0.000
Rh 2.397 2.397 2.415
```

Values from the calculation:
Calculated total energy (eV per atom): -6.32
SG: P4/mmm (123)


3.
Sn2HgPb3 after structural relaxation. Source: the Alexandria database, functional PBE-GGA.

extended XYZ file:
```
12
Lattice="3.420 -8.491 0.000 3.420 8.491 0.000 0.000 0.000 6.157" Properties=species:S:1:pos:R:3 pbc="T T T"
Sn 1.596 0.000 0.000
Sn 1.596 0.000 3.079
Sn 5.244 0.000 0.000
Sn 5.244 0.000 3.079
Hg 3.420 5.800 4.618
Hg 3.420 -5.800 1.539
Pb 1.691 2.999 4.618
Pb 3.420 2.377 1.539
Pb 1.691 -2.999 1.539
Pb 5.149 2.999 4.618
Pb 3.420 -2.377 4.618
Pb 5.149 -2.999 1.539
```

Values from the calculation:
Calculated total energy (eV per atom): -3.19
SG: Cmcm (63)
ΔE to the lowest computed polymorph (kJ/mol of atoms): 0.00


4.
KCr2Pb after structural relaxation. Source: the Alexandria database, functional PBE-GGA.

extended XYZ file:
```
12
Lattice="3.475 0.000 0.000 -1.737 3.009 0.000 0.000 0.000 32.318" Properties=species:S:1:pos:R:3 pbc="T T T"
K 0.000 0.000 0.000
K 0.000 2.006 21.546
K 1.737 1.003 10.773
Cr 0.000 0.000 7.672
Cr 0.000 0.000 24.647
Cr 0.000 2.006 13.874
Cr 0.000 2.006 29.217
Cr 1.737 1.003 3.101
Cr 1.737 1.003 18.444
Pb 0.000 0.000 16.159
Pb 0.000 2.006 5.386
Pb 1.737 1.003 26.932
```

Values from the calculation:
Calculated total energy (eV per atom): -4.99
SG: R-3m (166)


5.
Be24Cr5 after structural relaxation. Source: the Alexandria database, functional PBE-GGA.

extended XYZ file:
```
29
Lattice="-3.965 3.965 3.965 3.965 -3.965 3.965 3.965 3.965 -3.965" Properties=species:S:1:pos:R:3 pbc="T T T"
Be 2.230 0.726 -0.726
Be 2.230 -0.726 0.726
Be 4.249 1.193 -1.193
Be 4.249 -1.193 1.193
Be 5.700 0.726 0.726
Be 0.726 2.230 -0.726
Be 0.726 -0.726 2.230
Be 3.680 1.193 1.193
Be 2.772 2.772 -0.284
Be 2.772 -0.284 2.772
Be -0.726 2.230 0.726
Be -0.726 0.726 2.230
Be 1.193 4.249 -1.193
Be 1.193 -1.193 4.249
Be 1.193 3.680 1.193
Be 1.193 1.193 3.680
Be 3.238 3.238 1.735
Be 3.238 1.735 3.238
Be -1.193 4.249 1.193
Be -1.193 1.193 4.249
Be -0.284 2.772 2.772
Be 0.726 5.700 0.726
Be 0.726 0.726 5.700
Be 1.735 3.238 3.238
Cr 0.000 0.000 0.000
Cr 2.489 2.489 -2.489
Cr 2.489 -2.489 2.489
Cr 1.476 1.476 1.476
Cr -2.489 2.489 2.489
```

Values from the calculation:
Calculated total energy (eV per atom): -4.82
SG: I-43m (217)


6.
NaNpZnO5 after structural relaxation. Source: the Alexandria database, functional PBE-GGA.

extended XYZ file:
```
16
Lattice="3.538 -4.750 0.000 3.538 4.750 0.000 -3.506 0.000 7.215" Properties=species:S:1:pos:R:3 pbc="T T T"
Na 0.909 3.126 5.411
Na 2.662 -3.126 1.804
Np 3.538 0.000 0.000
Np 1.785 0.000 3.607
Zn 2.662 2.928 1.804
Zn 0.909 -2.928 5.411
O -1.751 0.528 6.589
O 1.440 1.808 2.834
O 0.002 -0.528 2.981
O 3.884 1.808 0.774
O 0.909 0.714 5.411
O 2.662 -0.714 1.804
O -0.314 -1.808 6.441
O 3.569 0.528 4.234
O 2.131 -1.808 4.381
O 5.322 -0.528 0.626
```

Values from the calculation:
Calculated total energy (eV per atom): -7.17
Formation energy from raw total energies (eV per atom): -2.132
SG: C2/c (15)


7.
MnGaSiRhSe after structural relaxation. Source: the Alexandria database, functional PBE-GGA.

extended XYZ file:
```
10
Lattice="2.958 0.000 0.000 0.000 3.386 0.000 0.000 0.000 15.839" Properties=species:S:1:pos:R:3 pbc="T T T"
Mn 0.000 0.000 0.000
Mn 0.000 1.693 7.919
Ga 1.479 0.000 8.945
Ga 1.479 1.693 1.025
Si 0.000 0.000 2.587
Si 0.000 1.693 10.506
Rh 1.479 0.000 11.548
Rh 1.479 1.693 3.629
Se 1.479 0.000 14.091
Se 1.479 1.693 6.172
```

Values from the calculation:
Calculated total energy (eV per atom): -5.95
Formation energy from raw total energies (eV per atom): -0.258
SG: Amm2 (38)
ΔE to the lowest computed polymorph (kJ/mol of atoms): 1.98


8.
Al2ZnIn after structural relaxation. Source: the Alexandria database, functional PBE-GGA.

extended XYZ file:
```
4
Lattice="2.957 0.000 0.000 0.000 3.952 0.000 0.000 0.000 6.586" Properties=species:S:1:pos:R:3 pbc="T T T"
Al 0.000 0.000 1.396
Al 0.000 0.000 5.190
Zn 1.479 1.976 0.000
In 1.479 1.976 3.293
```

Values from the calculation:
Calculated total energy (eV per atom): -2.74
SG: Pmmm (47)


9.
ScMo2Rh after structural relaxation. Source: the Alexandria database, functional PBE-GGA.

extended XYZ file:
```
4
Lattice="2.827 0.000 0.000 0.000 4.335 0.000 -0.925 0.000 5.345" Properties=species:S:1:pos:R:3 pbc="T T T"
Sc 0.000 0.000 0.000
Mo 1.059 0.000 2.652
Mo 1.818 2.167 1.469
Rh 0.061 2.167 4.093
```

Values from the calculation:
Calculated total energy (eV per atom): -8.95
SG: Pm (6)
ΔE to the lowest computed polymorph (kJ/mol of atoms): 10.36


10.
YIr3 after structural relaxation. Source: the Alexandria database, functional PBE-GGA.

extended XYZ file:
```
4
Lattice="2.864 0.000 0.000 -1.432 2.480 0.000 0.000 0.000 9.377" Properties=species:S:1:pos:R:3 pbc="T T T"
Y 0.000 0.000 0.000
Ir 0.000 0.000 4.688
Ir 1.432 0.827 2.521
Ir 1.432 0.827 6.856
```

Values from the calculation:
Calculated total energy (eV per atom): -8.07
SG: P-6m2 (187)


11.
Zr3Al after structural relaxation. Source: the Alexandria database, functional PBE-GGA.

extended XYZ file:
```
4
Lattice="3.213 0.000 0.000 0.000 3.994 0.000 0.000 0.000 6.621" Properties=species:S:1:pos:R:3 pbc="T T T"
Zr 0.000 0.000 0.000
Zr 1.606 1.997 1.760
Zr 1.606 1.997 4.861
Al 0.000 0.000 3.310
```

Values from the calculation:
Calculated total energy (eV per atom): -7.57
SG: Pmmm (47)


12.
CeSm2ThS4 after structural relaxation. Source: the Alexandria database, functional PBE-GGA.

extended XYZ file:
```
8
Lattice="6.934 0.000 0.000 0.000 4.011 0.000 -2.311 0.000 6.608" Properties=species:S:1:pos:R:3 pbc="T T T"
Ce 0.000 0.000 0.000
Sm -1.156 2.005 3.304
Sm 2.312 0.000 3.304
Th 3.467 2.005 0.000
S -0.005 0.000 4.929
S 1.151 2.005 1.672
S 3.472 2.005 4.936
S 4.628 0.000 1.679
```

Values from the calculation:
Calculated total energy (eV per atom): -6.89
Formation energy from raw total energies (eV per atom): -1.982
SG: P2/m (10)


13.
Tb3MgCu4 after structural relaxation. Source: the Alexandria database, functional PBE-GGA.

extended XYZ file:
```
8
Lattice="4.827 0.000 0.000 0.000 4.827 0.000 0.000 0.000 6.852" Properties=species:S:1:pos:R:3 pbc="T T T"
Tb 0.000 0.000 0.000
Tb 0.000 0.000 3.426
Tb 2.413 2.413 0.000
Mg 2.413 2.413 3.426
Cu 0.000 2.413 1.744
Cu 0.000 2.413 5.109
Cu 2.413 0.000 1.744
Cu 2.413 0.000 5.109
```

Values from the calculation:
Calculated total energy (eV per atom): -4.18
SG: P4/mmm (123)


14.
YEr2Sc3 after structural relaxation. Source: the Alexandria database, functional PBE-GGA.

extended XYZ file:
```
12
Lattice="6.304 0.000 0.000 -3.152 5.459 0.000 0.000 0.000 10.205" Properties=species:S:1:pos:R:3 pbc="T T T"
Y 0.000 3.640 4.458
Y 3.152 1.820 5.748
Er 0.000 0.000 0.000
Er 0.000 0.000 5.103
Er 0.000 3.640 0.632
Er 3.152 1.820 9.573
Sc 0.000 1.873 7.666
Sc -1.530 4.523 7.666
Sc 1.622 0.937 2.539
Sc 1.530 4.523 7.666
Sc 4.682 0.937 2.539
Sc 3.152 3.586 2.539
```

Values from the calculation:
Calculated total energy (eV per atom): -5.54
SG: P-3m1 (164)
ΔE to the lowest computed polymorph (kJ/mol of atoms): 18.09


15.
ScNi2Pd2 after structural relaxation. Source: the Alexandria database, functional PBE-GGA.

extended XYZ file:
```
10
Lattice="3.770 0.000 0.000 0.000 3.770 0.000 0.000 0.000 11.121" Properties=species:S:1:pos:R:3 pbc="T T T"
Sc 0.000 0.000 0.000
Sc 1.885 1.885 5.560
Ni 0.000 0.000 4.476
Ni 0.000 0.000 6.644
Ni 1.885 1.885 1.084
Ni 1.885 1.885 10.036
Pd 0.000 1.885 2.780
Pd 0.000 1.885 8.340
Pd 1.885 0.000 2.780
Pd 1.885 0.000 8.340
```

Values from the calculation:
Calculated total energy (eV per atom): -5.87
SG: I4/mmm (139)
ΔE to the lowest computed polymorph (kJ/mol of atoms): 9.76


16.
EuMg3Co after structural relaxation. Source: the Alexandria database, functional PBE-GGA.

extended XYZ file:
```
5
Lattice="4.934 0.000 0.000 0.000 4.934 0.000 0.000 0.000 4.934" Properties=species:S:1:pos:R:3 pbc="T T T"
Eu 0.000 0.000 0.000
Mg 0.000 2.467 2.467
Mg 2.467 0.000 2.467
Mg 2.467 2.467 0.000
Co 2.467 2.467 2.467
```

Values from the calculation:
Calculated total energy (eV per atom): -4.38
SG: Pm-3m (221)


17.
K3Rb2Hg3 after structural relaxation. Source: the Alexandria database, functional PBE-GGA.

extended XYZ file:
```
8
Lattice="10.134 0.000 0.000 -5.067 8.776 0.000 0.000 0.000 4.135" Properties=species:S:1:pos:R:3 pbc="T T T"
K -3.873 6.709 0.000
K 1.194 2.068 0.000
K 7.746 0.000 0.000
Rb 0.000 5.851 0.000
Rb 5.067 2.925 0.000
Hg -1.827 3.165 2.067
Hg 3.655 0.000 2.067
Hg 3.240 5.611 2.067
```

Values from the calculation:
Calculated total energy (eV per atom): -0.88
SG: P-62m (189)


18.
LuSc2V after structural relaxation. Source: the Alexandria database, functional PBE-GGA.

extended XYZ file:
```
4
Lattice="3.441 0.000 0.000 0.000 3.441 0.000 0.000 0.000 7.878" Properties=species:S:1:pos:R:3 pbc="T T T"
Lu 0.000 0.000 0.000
Sc 1.720 1.720 2.368
Sc 1.720 1.720 5.510
V 0.000 0.000 3.939
```

Values from the calculation:
Calculated total energy (eV per atom): -6.40
SG: P4/mmm (123)
ΔE to the lowest computed polymorph (kJ/mol of atoms): 0.00


19.
Nd3DySb4 after structural relaxation. Source: the Alexandria database, functional PBE-GGA.

extended XYZ file:
```
8
Lattice="6.348 0.000 0.000 0.000 6.348 0.000 0.000 0.000 6.348" Properties=species:S:1:pos:R:3 pbc="T T T"
Nd 0.000 0.000 3.174
Nd 0.000 3.174 0.000
Nd 3.174 0.000 0.000
Dy 3.174 3.174 3.174
Sb 0.000 0.000 0.000
Sb 0.000 3.174 3.174
Sb 3.174 0.000 3.174
Sb 3.174 3.174 0.000
```

Values from the calculation:
Calculated total energy (eV per atom): -5.60
Formation energy from raw total energies (eV per atom): -1.171
SG: Pm-3m (221)


20.
MgAl9Ni2 after structural relaxation. Source: the Alexandria database, functional PBE-GGA.

extended XYZ file:
```
24
Lattice="-5.422 5.422 3.279 5.422 -5.422 3.279 5.422 5.422 -3.279" Properties=species:S:1:pos:R:3 pbc="T T T"
Mg 5.422 2.711 0.820
Mg 0.000 2.711 2.459
Al 4.106 -0.661 1.171
Al 6.737 -0.661 1.171
Al 5.422 -2.711 2.459
Al 2.050 1.395 0.468
Al 8.794 1.395 0.468
Al 4.106 4.760 -1.171
Al 1.316 -0.661 2.108
Al 2.050 4.027 0.468
Al 3.372 -1.395 3.747
Al 2.050 6.817 -0.468
Al 3.372 1.395 2.810
Al 4.106 6.083 1.171
Al 1.316 0.661 4.450
Al -3.372 4.027 2.810
Al 3.372 4.027 2.810
Al 0.000 8.132 0.820
Al -1.316 6.083 2.108
Al 1.316 6.083 2.108
Ni 0.000 0.000 0.000
Ni 2.711 2.711 -1.639
Ni 2.711 -2.711 1.639
Ni 0.000 5.422 0.000
```

Values from the calculation:
Calculated total energy (eV per atom): -4.10
SG: I4_1/amd (141)


21.
TcIrOs after structural relaxation. Source: the Alexandria database, functional PBE-GGA.

extended XYZ file:
```
6
Lattice="2.737 0.000 0.000 0.000 2.737 0.000 0.000 0.000 11.575" Properties=species:S:1:pos:R:3 pbc="T T T"
Tc 0.000 0.000 0.000
Tc 1.369 1.369 5.787
Ir 0.000 0.000 3.847
Ir 1.369 1.369 9.635
Os 0.000 0.000 7.647
Os 1.369 1.369 1.860
```

Values from the calculation:
Calculated total energy (eV per atom): -10.18
SG: I4mm (107)
ΔE to the lowest computed polymorph (kJ/mol of atoms): 2.89


22.
ThPa2C3 after structural relaxation. Source: the Alexandria database, functional PBE-GGA.

extended XYZ file:
```
12
Lattice="3.646 0.000 0.000 0.000 5.183 0.000 0.000 0.000 10.990" Properties=species:S:1:pos:R:3 pbc="T T T"
Th 0.000 0.000 0.000
Th 1.823 2.592 5.495
Pa 0.000 0.000 3.659
Pa 0.000 0.000 7.331
Pa 1.823 2.592 1.836
Pa 1.823 2.592 9.154
C 0.000 2.592 0.000
C 0.000 2.592 3.483
C 0.000 2.592 7.507
C 1.823 0.000 2.012
C 1.823 0.000 5.495
C 1.823 0.000 8.978
```

Values from the calculation:
Calculated total energy (eV per atom): -9.40
SG: Immm (71)
ΔE to the lowest computed polymorph (kJ/mol of atoms): 0.00


23.
TiNbCrCo after structural relaxation. Source: the Alexandria database, functional PBE-GGA.

extended XYZ file:
```
16
Lattice="6.075 0.000 0.000 0.000 6.075 0.000 0.000 0.000 6.075" Properties=species:S:1:pos:R:3 pbc="T T T"
Ti 0.000 0.000 0.000
Ti 0.000 3.037 3.037
Ti 3.037 0.000 3.037
Ti 3.037 3.037 0.000
Nb 0.000 0.000 3.037
Nb 0.000 3.037 0.000
Nb 3.037 0.000 0.000
Nb 3.037 3.037 3.037
Cr 1.519 1.519 4.556
Cr 1.519 4.556 1.519
Cr 4.556 1.519 1.519
Cr 4.556 4.556 4.556
Co 1.519 1.519 1.519
Co 1.519 4.556 4.556
Co 4.556 1.519 4.556
Co 4.556 4.556 1.519
```

Values from the calculation:
Calculated total energy (eV per atom): -8.80
SG: F-43m (216)


24.
DyZr2Co2 after structural relaxation. Source: the Alexandria database, functional PBE-GGA.

extended XYZ file:
```
10
Lattice="11.134 0.000 0.000 0.000 3.571 0.000 -1.057 0.000 5.010" Properties=species:S:1:pos:R:3 pbc="T T T"
Dy 0.000 0.000 0.000
Dy 5.567 1.786 0.000
Zr 1.019 1.786 2.836
Zr 3.491 0.000 2.174
Zr 6.586 0.000 2.836
Zr 9.058 1.786 2.174
Co 2.408 1.786 0.656
Co 2.102 0.000 4.354
Co 7.975 0.000 0.656
Co 7.669 1.786 4.354
```

Values from the calculation:
Calculated total energy (eV per atom): -7.33
SG: C2/m (12)


Sequential calculated volume output: 23.27, 22.21, 29.80, 28.16, 8.60, 15.16, 15.87, 19.24, 16.37, 16.65, 21.24, 22.97, 19.96, 29.27, 15.81, 24.02, 45.97, 23.31, 31.98, 16.06, 14.45, 17.31, 14.01, 19.92 A^3/atom